(1)
Material: LaZr2Co2
Method: DFT, PBE
State: optimized geometry

Output
Distance to the lowest polymorph of the same formula, meV per atom: 147
V, Å³ per cell: 195
Symmetry: P4/mbm (127)
Formation energy, eV/atom: -0.038

Lattice parameters (Å, degrees): 7.5840 7.5840 3.3955 90.00 90.00 90.00
Last column: nearest neighbours and their distance in Å.
Element x y z (fractional)
La: 0.0000 0.0000 0.0000  4 Co 3.00, 8 Zr 3.35
La: 0.5000 0.5000 0.0000  4 Co 3.00, 8 Zr 3.35
Zr: 0.1505 0.3495 0.5000  6 Co 2.70-2.95
Zr: 0.3495 0.8495 0.5000  6 Co 2.70-2.95
Zr: 0.6505 0.1505 0.5000  6 Co 2.70-2.95
Zr: 0.8495 0.6505 0.5000  6 Co 2.70-2.95
Co: 0.1247 0.6247 0.0000  1 Co 2.67, 6 Zr 2.70-2.95
Co: 0.3753 0.1247 0.0000  1 Co 2.67, 6 Zr 2.70-2.95
Co: 0.6247 0.8753 0.0000  1 Co 2.67, 6 Zr 2.70-2.95
Co: 0.8753 0.3753 0.0000  1 Co 2.67, 6 Zr 2.70-2.95

(2)
Material: SbRhAu2
Method: DFT, PBE
State: optimized geometry

Output
E_form (uncorrected), meV/atom: 74
V, Å³ per cell: 75
Symmetry: Cmmm (65)

Lattice parameters (Å, degrees): 4.7085 4.7085 3.5883 90.00 90.00 108.94
Last column: nearest neighbours and their distance in Å.
Element x y z (fractional)
Sb: 0.0000 0.0000 0.0000  2 Rh 2.74, 8 Au 2.96
Rh: 0.5000 0.5000 0.0000  2 Sb 2.74, 8 Au 2.96
Au: 0.0000 0.5000 0.5000  2 Au 2.74, 4 Sb 2.96, 4 Rh 2.96
Au: 0.5000 0.0000 0.5000  2 Au 2.74, 4 Sb 2.96, 4 Rh 2.96

(3)
Material: IrC4
Method: DFT, PBE
State: optimized geometry

Output
Distance to the lowest polymorph of the same formula, meV per atom: 382
V, Å³ per cell: 41
Symmetry: P-3m1 (164)
Formation energy, eV/atom: 0.962

Lattice parameters (Å, degrees): 2.7871 2.7871 6.1502 90.00 90.00 120.00
Last column: nearest neighbours and their distance in Å.
Element x y z (fractional)
Ir: 0.0000 0.0000 0.0000  6 C 2.09
C: 0.3333 0.6667 0.2171  1 C 1.47
C: 0.3333 0.6667 0.4557  1 C 1.47
C: 0.6667 0.3333 0.5443  1 C 1.47
C: 0.6667 0.3333 0.7829  1 C 1.47

(4)
Material: RbLiCdF6
Method: DFT, PBE
State: optimized geometry

Output
E_form (uncorrected), meV/atom: -1960
V, Å³ per cell: 161
Symmetry: P312 (149)

Lattice parameters (Å, degrees): 5.5203 5.5203 6.1144 90.00 90.00 120.00
Last column: nearest neighbours and their distance in Å.
Element x y z (fractional)
Rb: 0.0000 0.0000 0.0000  6 F 2.83
Li: 0.3333 0.6667 0.5000  6 F 2.05
Cd: 0.6667 0.3333 0.5000  6 F 2.12
F: 0.0086 0.3859 0.6922  1 Li 2.05, 1 Cd 2.12
F: 0.0086 0.6227 0.3078  1 Li 2.05, 1 Cd 2.12
F: 0.3773 0.3859 0.3078  1 Li 2.05, 1 Cd 2.12
F: 0.3773 0.9914 0.6922  1 Li 2.05, 1 Cd 2.12
F: 0.6141 0.6227 0.6922  1 Li 2.05, 1 Cd 2.12
F: 0.6141 0.9914 0.3078  1 Li 2.05, 1 Cd 2.12

(5)
Material: Cs4NbS5
Method: DFT, PBE
State: optimized geometry

Output
E_form (uncorrected), meV/atom: -1044
V, Å³ per cell: 390
Symmetry: I4 (79)

Lattice parameters (Å, degrees): 8.2242 8.2242 8.2242 100.62 100.62 129.15
Last column: nearest neighbours and their distance in Å.
Element x y z (fractional)
Cs: 0.0953 0.7026 0.7979  5 S 3.35-3.71
Cs: 0.2974 0.0953 0.3927  5 S 3.35-3.71
Cs: 0.7026 0.9047 0.6073  5 S 3.35-3.71
Cs: 0.9047 0.2974 0.2021  5 S 3.35-3.71
Nb: 0.4225 0.4225 0.0000  5 S 2.28-2.43
S: 0.0994 0.0994 0.0000  1 Nb 2.28
S: 0.2950 0.4384 0.7174  1 Nb 2.43
S: 0.4384 0.7210 0.1434  1 Nb 2.43
S: 0.5776 0.2950 0.8566  1 Nb 2.43
S: 0.7210 0.5776 0.2826  1 Nb 2.43

(6)
Material: Tl2Cr2SiS6
Method: DFT, PBE
State: optimized geometry

Output
E_form (uncorrected), meV/atom: -605
V, Å³ per cell: 240
Symmetry: C2/m (12)

Lattice parameters (Å, degrees): 6.0642 6.0642 7.8157 97.52 97.52 120.04
Last column: nearest neighbours and their distance in Å.
Element x y z (fractional)
Tl: 0.1683 0.8317 0.0000  6 S 3.20-3.25, 3 Tl 3.48-3.54
Tl: 0.8317 0.1683 0.0000  6 S 3.20-3.25, 3 Tl 3.48-3.54
Cr: 0.3316 0.6684 0.5000  6 S 2.41-2.43
Cr: 0.6684 0.3316 0.5000  6 S 2.41-2.43
Si: 0.0000 0.0000 0.5000  6 S 2.32-2.33
S: 0.0588 0.3794 0.6687  1 Si 2.33, 2 Cr 2.41
S: 0.2645 0.2645 0.3319  1 Si 2.32, 2 Cr 2.43
S: 0.3794 0.0588 0.6687  1 Si 2.33, 2 Cr 2.41
S: 0.6206 0.9412 0.3313  1 Si 2.33, 2 Cr 2.41
S: 0.7355 0.7355 0.6681  1 Si 2.32, 2 Cr 2.43
S: 0.9412 0.6206 0.3313  1 Si 2.33, 2 Cr 2.41

Calculated density
In order: 7.47; 13.65; 9.64; 3.28; 3.35; 5.07
Unit: g/cm3